[1]
The following is a PBE calculation of a relaxed structure of KPRh, from the Alexandria database.

The structure in POSCAR format:
```
KPRh
1.0
-1.224 -0.651 4.252
-4.089 -1.548 0.938
-0.512 -4.156 1.568
P Rh K
1 1 1
direct
0.500 0.500 0.500 P
0.250 0.250 0.250 Rh
0.000 0.000 0.000 K
```

Calculated values
- Uncorrected energy: -12.35 eV for the cell shown
- Total magnetic moment: 0.0 μB per cell
- ΔE_f: 502.6 meV per atom

***

[2]
The following is a PBE calculation of a relaxed structure of KP2Rh, from the Alexandria database.

The structure in POSCAR format:
```
KP2Rh
1.0
-2.342 -3.061 -1.375
-0.122 -1.481 -3.813
3.711 -5.863 -0.419
K P Rh
1 2 1
direct
0.235 0.235 0.259 K
0.065 0.065 0.883 P
0.769 0.769 0.645 P
0.431 0.431 0.713 Rh
```

Calculated values
- Uncorrected energy: -20.94 eV for the cell shown
- Total magnetic moment: 0.0 μB per cell
- ΔE to the lowest computed polymorph: 0 meV/atom
- ΔE_f: -418.9 meV per atom

***

[3]
The following is a PBE calculation of a relaxed structure of KP2Rh, from the Alexandria database.

The structure in POSCAR format:
```
KP2Rh
1.0
5.721 -0.006 -0.005
1.896 5.398 0.005
-2.750 -4.191 2.758
P K Rh
2 1 1
direct
0.923 0.923 0.000 P
0.759 0.259 0.500 P
0.240 0.740 0.500 K
0.578 0.578 0.000 Rh
```

Calculated values
- Uncorrected energy: -18.63 eV for the cell shown
- Total magnetic moment: 0.0 μB per cell
- ΔE to the lowest computed polymorph: 578 meV/atom
- ΔE_f: 158.9 meV per atom